DFT (GGA-PBE) results for a geometry-optimized HfGa3Ni structure.

a b c (Å): 4.008 6.440 6.474
angles (deg): 90.00 90.00 90.00
Fractional positions:
Hf 0.250 0.250 0.193
Hf 0.750 0.750 0.807
Ga 0.250 0.045 0.793
Ga 0.250 0.455 0.793
Ga 0.250 0.750 0.475
Ga 0.750 0.250 0.525
Ga 0.750 0.545 0.207
Ga 0.750 0.955 0.207
Ni 0.250 0.750 0.104
Ni 0.750 0.250 0.896

Summary:
energy above the most stable polymorph in this dataset	7.0	kJ per mole of atoms
symmetry	Pmmn, No. 59
theoretical density	8.87	Mg/m³
E	-52.4	eV for the cell shown
DFT formation energy	-0.276	eV per atom
spin magnetization	0.00	μB per formula unit